Material: MgZrSc2As
Method: DFT, PBE
State: relaxed

Cell lengths 5.0245, 5.0999, 5.0245 Å; angles 90.00, 90.00, 90.00 degrees
With the nearest neighbours (Å) after each atom.
Fractional positions:
1 Sc 0.0000 0.0000 0.5000  2 Mg 2.51
2 Sc 0.5000 0.0000 0.0000  2 Mg 2.51
3 As 0.5000 0.5000 0.5000  4 Zr 3.55, 8 Sc 3.58
4 Mg 0.0000 0.0000 0.0000  4 Sc 2.51, 2 Zr 2.55
5 Zr 0.0000 0.5000 0.0000  2 Mg 2.55

For the formation enthalpy at 0 K, the calculation gives 700 meV/atom. The space group is P4/mmm, No. 123.

Material: MgAs2Se4
Method: DFT, PBE
State: relaxed

Cell lengths 3.8566, 3.8566, 13.5601 Å; angles 81.82, 81.82, 60.00 degrees
With the nearest neighbours (Å) after each atom.
Fractional positions:
1 Mg 0.0000 0.0000 0.0000  6 Se 2.73
2 As 0.4177 0.4177 0.7469  6 Se 2.64-2.86
3 As 0.5823 0.5823 0.2531  6 Se 2.64-2.86
4 Se 0.1196 0.1196 0.6413  3 As 2.64
5 Se 0.2938 0.2938 0.1185  3 Mg 2.73, 3 As 2.86
6 Se 0.7062 0.7062 0.8815  3 Mg 2.73, 3 As 2.86
7 Se 0.8804 0.8804 0.3587  3 As 2.64

Its raw formation energy is -0.420 eV per atom. The space group is R-3m, No. 166.

Material: MgAs2Se
Method: DFT, PBE
State: relaxed

Cell lengths 4.8504, 4.8504, 3.3547 Å; angles 90.00, 90.00, 90.03 degrees
With the nearest neighbours (Å) after each atom.
Fractional positions:
1 As 0.0000 0.0000 0.0000  4 Mg 2.95, 4 Se 2.95
2 As 0.5000 0.5000 0.0000  4 Se 2.95, 4 Mg 2.95
3 Mg 0.5000 0.0000 0.5000  8 As 2.95
4 Se 0.0000 0.5000 0.5000  8 As 2.95

Its raw formation energy is 0.084 eV per atom. The space group is P4/mmm, No. 123.

Material: MgAs2Se
Method: DFT, PBE
State: relaxed

Cell lengths 4.8425, 4.8425, 4.8425 Å; angles 60.00, 60.00, 60.00 degrees
With the nearest neighbours (Å) after each atom.
Fractional positions:
1 As 0.2500 0.2500 0.2500  4 Se 2.97, 4 Mg 2.97
2 As 0.7500 0.7500 0.7500  4 Mg 2.97, 4 Se 2.97
3 Mg 0.0000 0.0000 0.0000  8 As 2.97
4 Se 0.5000 0.5000 0.5000  8 As 2.97

Its raw formation energy is 0.243 eV per atom. The space group is Fm-3m, No. 225.

Material: Mg2As2Se
Method: DFT, PBE
State: relaxed

Cell lengths 4.8897, 4.8897, 5.7960 Å; angles 65.05, 65.05, 90.00 degrees
With the nearest neighbours (Å) after each atom.
Fractional positions:
1 As 0.3714 0.3714 0.2572  1 As 2.39
2 As 0.6286 0.6286 0.7428  1 As 2.39
3 Mg 0.7500 0.2500 0.5000  4 As 2.69
4 Mg 0.2500 0.7500 0.5000  4 As 2.69
5 Se 0.0000 0.0000 0.0000  8 Mg 3.37, 10 As 3.46-3.66

Its raw formation energy is -0.204 eV per atom. The space group is I4/mmm, No. 139.

Material: MgAsSe2
Method: DFT, PBE
State: relaxed

Cell lengths 6.5136, 6.5136, 6.5136 Å; angles 142.94, 144.00, 52.63 degrees
With the nearest neighbours (Å) after each atom.
Fractional positions:
1 As 0.7500 0.2500 0.5000  4 Se 2.75, 4 Mg 2.89
2 Mg 0.2500 0.7500 0.5000  4 Se 2.71, 4 As 2.89
3 Se 0.9048 0.9048 0.0000  2 Mg 2.71, 2 As 2.75
4 Se 0.5952 0.5952 0.0000  2 Mg 2.71, 2 As 2.75

Its raw formation energy is -0.303 eV per atom. The space group is Immm, No. 71.

Material: MgAsSe2
Method: DFT, PBE
State: relaxed

Cell lengths 6.7484, 6.7484, 6.7484 Å; angles 34.72, 34.72, 34.72 degrees
With the nearest neighbours (Å) after each atom.
Fractional positions:
1 As 0.2500 0.2500 0.2500  6 Se 2.80
2 Mg 0.7500 0.7500 0.7500  6 Se 2.82
3 Se 0.9990 0.9990 0.9990  3 As 2.80, 3 Mg 2.82
4 Se 0.5010 0.5010 0.5010  3 As 2.80, 3 Mg 2.82

Its raw formation energy is -0.386 eV per atom. The space group is R-3m, No. 166.

Material: MgAs2Se
Method: DFT, PBE
State: relaxed

Cell lengths 7.7714, 7.7714, 7.7714 Å; angles 152.90, 153.22, 38.47 degrees
With the nearest neighbours (Å) after each atom.
Fractional positions:
1 As 0.0291 0.0291 0.0000  4 As 2.70
2 As 0.4709 0.4709 0.0000  4 As 2.70
3 Mg 0.7500 0.2500 0.5000  4 Se 2.56
4 Se 0.2500 0.7500 0.5000  4 Mg 2.56

Its raw formation energy is -0.220 eV per atom. The space group is Immm, No. 71.

Material: Mg4AsSe
Method: DFT, PBE
State: relaxed

Cell lengths 5.6913, 5.6913, 5.6913 Å; angles 60.00, 60.00, 60.00 degrees
With the nearest neighbours (Å) after each atom.
Fractional positions:
1 Mg 0.8747 0.3751 0.3751  6 Mg 2.84-2.85
2 Mg 0.3751 0.3751 0.8747  6 Mg 2.84-2.85
3 Mg 0.3751 0.8747 0.3751  6 Mg 2.84-2.85
4 Mg 0.3751 0.3751 0.3751  6 Mg 2.84-2.85
5 As 0.0000 0.0000 0.0000  12 Mg 3.34, 4 Se 3.49
6 Se 0.7500 0.7500 0.7500  12 Mg 3.34, 4 As 3.49

Its raw formation energy is 0.004 eV per atom. The space group is F-43m, No. 216.

Material: MgAsSe2
Method: DFT, PBE
State: relaxed

Cell lengths 3.7124, 7.5900, 3.7156 Å; angles 90.00, 90.00, 90.00 degrees
With the nearest neighbours (Å) after each atom.
Fractional positions:
1 As 0.5000 0.0000 0.5000  4 Se 2.63
2 Mg 0.0000 0.5000 0.5000  4 Se 2.63
3 Se 0.0000 0.0000 0.0000  4 As 2.63
4 Se 0.5000 0.5000 0.0000  4 Mg 2.63

Its raw formation energy is -0.281 eV per atom. The space group is Pmmm, No. 47.

Material: Mg2As2Se
Method: DFT, PBE
State: relaxed

Cell lengths 7.2839, 7.2839, 4.1067 Å; angles 90.00, 90.00, 90.00 degrees
With the nearest neighbours (Å) after each atom.
Fractional positions:
1 As 0.1163 0.6163 0.5000  1 As 2.40
2 As 0.6163 0.8837 0.5000  1 As 2.40
3 As 0.8837 0.3837 0.5000  1 As 2.40
4 As 0.3837 0.1163 0.5000  1 As 2.40
5 Mg 0.3211 0.8211 0.0000  2 Se 2.68, 2 As 2.94
6 Mg 0.8211 0.6789 0.0000  2 Se 2.68, 2 As 2.94
7 Mg 0.6789 0.1789 0.0000  2 Se 2.68, 2 As 2.94
8 Mg 0.1789 0.3211 0.0000  2 Se 2.68, 2 As 2.94
9 Se 0.0000 0.0000 0.0000  4 Mg 2.68
10 Se 0.5000 0.5000 0.0000  4 Mg 2.68

Its raw formation energy is -0.306 eV per atom. The space group is P4/mbm, No. 127.

Material: MgAsSe2
Method: DFT, PBE
State: relaxed

Cell lengths 8.2435, 8.2435, 8.2435 Å; angles 154.49, 154.60, 36.31 degrees
With the nearest neighbours (Å) after each atom.
Fractional positions:
1 As 0.5423 0.5423 0.0000  4 Se 2.70
2 Mg 0.2218 0.7218 0.5000  4 Se 2.60
3 Se 0.9884 0.9884 0.0000  4 As 2.70
4 Se 0.7476 0.2476 0.5000  4 Mg 2.60

Its raw formation energy is -0.326 eV per atom. The space group is Imm2, No. 44.

Material: MgAsSe2
Method: DFT, PBE
State: relaxed

Cell lengths 4.2572, 4.2572, 7.3380 Å; angles 90.00, 90.00, 127.28 degrees
With the nearest neighbours (Å) after each atom.
Fractional positions:
1 As 0.5000 0.5000 0.2500  4 Se 2.64
2 Mg 0.5000 0.5000 0.7500  4 Se 2.63
3 Se 0.0000 0.0000 0.9990  2 Mg 2.63, 2 As 2.64
4 Se 0.0000 0.0000 0.5010  2 Mg 2.63, 2 As 2.64

Its raw formation energy is -0.208 eV per atom. The space group is Cmmm, No. 65.

Material: MgAs2Se
Method: DFT, PBE
State: relaxed

Cell lengths 4.8311, 4.8311, 4.8311 Å; angles 60.00, 60.00, 60.00 degrees
With the nearest neighbours (Å) after each atom.
Fractional positions:
1 As 0.0000 0.0000 0.0000  4 As 2.96, 4 Se 2.96
2 As 0.2500 0.2500 0.2500  4 As 2.96, 4 Mg 2.96
3 Mg 0.5000 0.5000 0.5000  4 As 2.96, 4 Se 2.96
4 Se 0.7500 0.7500 0.7500  4 Mg 2.96, 4 As 2.96

Its raw formation energy is 0.067 eV per atom. The space group is F-43m, No. 216.

Material: MgAsSe4
Method: DFT, PBE
State: relaxed

Cell lengths 5.6934, 5.6934, 5.6934 Å; angles 60.00, 60.00, 60.00 degrees
With the nearest neighbours (Å) after each atom.
Fractional positions:
1 Mg 0.0000 0.0000 0.0000  12 Se 3.34, 4 As 3.49
2 As 0.7500 0.7500 0.7500  12 Se 3.34, 4 Mg 3.49
3 Se 0.8755 0.3748 0.3748  6 Se 2.84-2.85
4 Se 0.3748 0.3748 0.8755  6 Se 2.84-2.85
5 Se 0.3748 0.8755 0.3748  6 Se 2.84-2.85
6 Se 0.3748 0.3748 0.3748  6 Se 2.84-2.85

Its raw formation energy is 0.467 eV per atom. The space group is F-43m, No. 216.

Material: MgAs2Se
Method: DFT, PBE
State: relaxed

Cell lengths 4.7900, 4.7943, 4.7918 Å; angles 71.64, 68.29, 108.34 degrees
With the nearest neighbours (Å) after each atom.
Fractional positions:
1 As 0.0000 0.0000 0.0000  2 As 2.69, 2 Se 2.81, 2 Mg 2.81
2 As 0.5000 0.0000 0.5000  2 As 2.69, 2 Mg 2.81, 2 Se 2.81
3 Mg 0.0000 0.5000 0.5000  2 Se 2.69, 4 As 2.81
4 Se 0.5000 0.5000 0.0000  2 Mg 2.69, 4 As 2.81

Its raw formation energy is -0.257 eV per atom. The space group is I4/mmm, No. 139.

Material: MgAs2Se
Method: DFT, PBE
State: relaxed

Cell lengths 6.6197, 6.6197, 4.2416 Å; angles 94.94, 94.94, 29.95 degrees
With the nearest neighbours (Å) after each atom.
Fractional positions:
1 As 0.0358 0.0358 0.8477  2 As 2.72, 4 Mg 2.78-2.82
2 As 0.6997 0.6997 0.9617  2 Se 2.56, 2 As 2.72
3 Mg 0.4849 0.4849 0.3272  1 Se 2.64, 4 As 2.78-2.82
4 Se 0.2796 0.2796 0.3634  2 As 2.56, 1 Mg 2.64

Its raw formation energy is -0.150 eV per atom. The space group is Cm, No. 8.

Material: MgAsSe2
Method: DFT, PBE
State: relaxed

Cell lengths 5.6266, 5.6266, 8.1061 Å; angles 69.69, 69.69, 90.00 degrees
With the nearest neighbours (Å) after each atom.
Fractional positions:
1 As 0.0000 0.0000 0.0000  4 Se 2.66
2 As 0.7500 0.2500 0.5000  4 Se 2.66
3 Mg 0.5000 0.5000 0.0000  4 Se 2.66
4 Mg 0.2500 0.7500 0.5000  4 Se 2.66
5 Se 0.6264 0.1250 0.2500  2 As 2.66, 2 Mg 2.66
6 Se 0.1236 0.6250 0.2500  2 As 2.66, 2 Mg 2.66
7 Se 0.3750 0.3736 0.7500  2 As 2.66, 2 Mg 2.66
8 Se 0.8750 0.8764 0.7500  2 As 2.66, 2 Mg 2.66

Its raw formation energy is -0.332 eV per atom. The space group is I-42d, No. 122.

Material: MgAs2Se4
Method: DFT, PBE
State: relaxed

Cell lengths 3.8455, 6.7583, 7.5297 Å; angles 115.35, 104.79, 90.00 degrees
With the nearest neighbours (Å) after each atom.
Fractional positions:
1 Mg 0.0000 0.0000 0.0000  6 Se 2.73-2.85
2 As 0.2537 0.2725 0.5074  6 Se 2.62-2.88
3 As 0.7463 0.7275 0.4926  6 Se 2.62-2.88
4 Se 0.1315 0.4625 0.2629  3 As 2.62-2.65, 1 Mg 2.85
5 Se 0.8685 0.5375 0.7371  3 As 2.62-2.65, 1 Mg 2.85
6 Se 0.3738 0.0301 0.7476  2 Mg 2.73, 3 As 2.82-2.88
7 Se 0.6262 0.9699 0.2524  2 Mg 2.73, 3 As 2.82-2.88

Its raw formation energy is -0.389 eV per atom. The space group is C2/m, No. 12.

Material: MgAsSe2
Method: DFT, PBE
State: relaxed

Cell lengths 4.8718, 4.8718, 4.8718 Å; angles 60.00, 60.00, 60.00 degrees
With the nearest neighbours (Å) after each atom.
Fractional positions:
1 As 0.5000 0.5000 0.5000  4 Se 2.98, 4 Mg 2.98
2 Mg 0.7500 0.7500 0.7500  4 As 2.98, 4 Se 2.98
3 Se 0.0000 0.0000 0.0000  4 Se 2.98, 4 Mg 2.98
4 Se 0.2500 0.2500 0.2500  4 As 2.98, 4 Se 2.98

Its raw formation energy is 0.172 eV per atom. The space group is F-43m, No. 216.

Here are the calculated calculated volume numbers, same order: 25.75, 24.61, 19.73, 20.07, 22.24, 24.33, 22.25, 24.04, 21.73, 26.17, 21.79, 25.84, 26.45, 19.93, 21.75, 21.16, 23.11, 27.95, 24.23, 20.44 (Å³ per atom).